# LaCr2Au | Alexandria | GGA-PBE | optimized geometry
data_LaCr2Au
_space_group_name_H-M_alt 'P 4 m m'
_space_group_IT_number 99
_cell_length_a 3.193
_cell_length_b 3.193
_cell_length_c 7.609
_cell_angle_alpha 90.00
_cell_angle_beta 90.00
_cell_angle_gamma 90.00
loop_
_space_group_symop_operation_xyz
'x,y,z'
'-y,x,z'
'-x,-y,z'
'y,-x,z'
'-x,y,z'
'y,x,z'
'x,-y,z'
'-y,-x,z'
loop_
_atom_site_label
_atom_site_fract_x
_atom_site_fract_y
_atom_site_fract_z
_atom_site_occupancy
La1 0.000 0.000 0.000 1
Cr1 0.000 0.000 0.540 1
Cr2 0.500 0.500 0.682 1
Au1 0.500 0.500 0.308 1
# Formation enthalpy at 0 K = 0.11 eV per atom
# E above lowest polymorph = 4.7 kJ per mole of atoms
# D(E_F) = 0.90 states/eV/atom
# Electronic total energy = -27.0 eV per cell



# K4Sc3SbO8 | Alexandria | GGA-PBE | optimized geometry
data_K4Sc3SbO8
_space_group_name_H-M_alt 'R -3 m'
_space_group_IT_number 166
_space_group_name_Hall '-R 3 2"'
_cell_length_a 6.6566
_cell_length_b 6.6566
_cell_length_c 18.4980
_cell_angle_alpha 90.00
_cell_angle_beta 90.00
_cell_angle_gamma 120.00
loop_
_atom_site_label
_atom_site_fract_x
_atom_site_fract_y
_atom_site_fract_z
_atom_site_occupancy
K1 0.0000 0.0000 0.0000 1
K2 0.0000 0.5000 0.0000 1
Sc1 0.0000 0.5000 0.5000 1
Sb1 0.0000 0.0000 0.5000 1
O1 0.0000 0.0000 0.2263 1
O2 0.0184 0.5092 0.7730 1
# Formation energy without anion corrections = -2362.6 meV/atom
# D(E_F) = 0.00 states/eV/atom
# Electronic total energy = -314.9 eV per cell



# TlZnRe2O | Alexandria | GGA-PBE | optimized geometry
data_TlZnRe2O
_space_group_name_H-M_alt 'P 4/m m m'
_space_group_IT_number 123
_space_group_name_Hall '-P 4 2'
_cell_length_a 4.943
_cell_length_b 4.943
_cell_length_c 3.603
_cell_angle_alpha 90.00
_cell_angle_beta 90.00
_cell_angle_gamma 90.00
loop_
_atom_site_label
_atom_site_fract_x
_atom_site_fract_y
_atom_site_fract_z
_atom_site_occupancy
Tl1 0.000 0.000 0.000 1
Zn1 0.500 0.500 0.500 1
Re1 0.000 0.500 0.500 1
O1 0.500 0.500 0.000 1
# Formation energy without anion corrections = 1624.2 meV/atom
# D(E_F) = 0.95 states/eV/atom
# Electronic total energy = -25.4 eV per cell



# PuSi3Tc | Alexandria | GGA-PBE | optimized geometry
data_PuSi3Tc
_space_group_name_H-M_alt 'I 4 m m'
_space_group_IT_number 107
_space_group_name_Hall 'I 4 -2'
_cell_length_a 4.112
_cell_length_b 4.112
_cell_length_c 10.303
_cell_angle_alpha 90.00
_cell_angle_beta 90.00
_cell_angle_gamma 90.00
loop_
_atom_site_label
_atom_site_fract_x
_atom_site_fract_y
_atom_site_fract_z
_atom_site_occupancy
Pu1 0.000 0.000 0.000 1
Si1 0.000 0.000 0.568 1
Si2 0.000 0.500 0.221 1
Tc1 0.000 0.000 0.337 1
# Formation energy without anion corrections = -382.2 meV/atom
# D(E_F) = 2.43 states/eV/atom
# Electronic total energy = -85.8 eV per cell



# YSb3S | Alexandria | GGA-PBE | optimized geometry
data_YSb3S
_space_group_name_H-M_alt 'P m -3 m'
_space_group_IT_number 221
_space_group_name_Hall '-P 4 2 3'
_cell_length_a 5.752
_cell_length_b 5.752
_cell_length_c 5.752
_cell_angle_alpha 90.00
_cell_angle_beta 90.00
_cell_angle_gamma 90.00
loop_
_atom_site_label
_atom_site_fract_x
_atom_site_fract_y
_atom_site_fract_z
_atom_site_occupancy
Y1 0.000 0.000 0.000 1
Sb1 0.000 0.000 0.500 1
S1 0.500 0.500 0.500 1
# E above lowest polymorph = 68.2 kJ per mole of atoms
# Formation energy without anion corrections = 691.3 meV/atom
# D(E_F) = 1.05 states/eV/atom
# Electronic total energy = -19.5 eV per cell



# SiB3Mo | Alexandria | GGA-PBE | optimized geometry
data_SiB3Mo
_space_group_name_H-M_alt 'P m -3 m'
_space_group_IT_number 221
_space_group_name_Hall '-P 4 2 3'
_cell_length_a 4.167
_cell_length_b 4.167
_cell_length_c 4.167
_cell_angle_alpha 90.00
_cell_angle_beta 90.00
_cell_angle_gamma 90.00
loop_
_atom_site_label
_atom_site_fract_x
_atom_site_fract_y
_atom_site_fract_z
_atom_site_occupancy
Si1 0.000 0.000 0.000 1
B1 0.000 0.500 0.500 1
Mo1 0.500 0.500 0.500 1
# E above lowest polymorph = 0.0 kJ per mole of atoms
# Formation energy without anion corrections = 1495.1 meV/atom
# D(E_F) = 0.49 states/eV/atom
# Electronic total energy = -28.8 eV per cell



# La2TbCd | Alexandria | GGA-PBE | optimized geometry
data_La2TbCd
_space_group_name_H-M_alt 'R 3 m'
_space_group_IT_number 160
_space_group_name_Hall 'R 3 -2"'
_cell_length_a 3.6969
_cell_length_b 3.6969
_cell_length_c 33.6449
_cell_angle_alpha 90.00
_cell_angle_beta 90.00
_cell_angle_gamma 120.00
loop_
_atom_site_label
_atom_site_fract_x
_atom_site_fract_y
_atom_site_fract_z
_atom_site_occupancy
La1 0.0000 0.0000 0.0000 1
La2 0.0000 0.0000 0.1744 1
Tb1 0.0000 0.0000 0.4202 1
Cd1 0.0000 0.0000 0.5874 1
# Formation enthalpy at 0 K = -0.05 eV per atom
# E above lowest polymorph = 10.4 kJ per mole of atoms
# D(E_F) = 1.33 states/eV/atom
# Electronic total energy = -46.8 eV per cell



# MnCo2Si | Alexandria | GGA-PBE | optimized geometry
data_MnCo2Si
_space_group_name_H-M_alt 'I -4 m 2'
_space_group_IT_number 119
_space_group_name_Hall 'I -4 -2'
_cell_length_a 3.526
_cell_length_b 3.526
_cell_length_c 6.999
_cell_angle_alpha 90.00
_cell_angle_beta 90.00
_cell_angle_gamma 90.00
loop_
_atom_site_label
_atom_site_fract_x
_atom_site_fract_y
_atom_site_fract_z
_atom_site_occupancy
Mn1 0.000 0.000 0.000 1
Co1 0.000 0.000 0.500 1
Co2 0.000 0.500 0.250 1
Si1 0.000 0.500 0.750 1
# Formation energy without anion corrections = -268.0 meV/atom
# D(E_F) = 0.98 states/eV/atom
# Electronic total energy = -59.8 eV per cell



# ZnGa3Pd | Alexandria | GGA-PBE | optimized geometry
data_ZnGa3Pd
_space_group_name_H-M_alt 'P m -3 m'
_space_group_IT_number 221
_space_group_name_Hall '-P 4 2 3'
_cell_length_a 4.722
_cell_length_b 4.722
_cell_length_c 4.722
_cell_angle_alpha 90.00
_cell_angle_beta 90.00
_cell_angle_gamma 90.00
loop_
_atom_site_label
_atom_site_fract_x
_atom_site_fract_y
_atom_site_fract_z
_atom_site_occupancy
Zn1 0.000 0.000 0.000 1
Ga1 0.000 0.000 0.500 1
Pd1 0.500 0.500 0.500 1
# Formation enthalpy at 0 K = 0.42 eV per atom
# E above lowest polymorph = 59.8 kJ per mole of atoms
# D(E_F) = 0.54 states/eV/atom
# Electronic total energy = -13.5 eV per cell



# TlPdSCl2 | Alexandria | GGA-PBE | optimized geometry
data_TlPdSCl2
_space_group_name_H-M_alt 'P 4/m m m'
_space_group_IT_number 123
_space_group_name_Hall '-P 4 2'
_cell_length_a 5.257
_cell_length_b 5.257
_cell_length_c 5.193
_cell_angle_alpha 90.00
_cell_angle_beta 90.00
_cell_angle_gamma 90.00
loop_
_atom_site_label
_atom_site_fract_x
_atom_site_fract_y
_atom_site_fract_z
_atom_site_occupancy
Tl1 0.000 0.000 0.000 1
Pd1 0.500 0.500 0.500 1
S1 0.000 0.000 0.500 1
Cl1 0.000 0.500 0.000 1
# E above lowest polymorph = 70.1 kJ per mole of atoms
# Formation energy without anion corrections = 381.4 meV/atom
# D(E_F) = 0.83 states/eV/atom
# Electronic total energy = -13.5 eV per cell



# Sc2TlHg9 | Alexandria | GGA-PBE | optimized geometry
data_Sc2TlHg9
_space_group_name_H-M_alt 'P 4/m m m'
_space_group_IT_number 123
_space_group_name_Hall '-P 4 2'
_cell_length_a 4.457
_cell_length_b 4.457
_cell_length_c 14.602
_cell_angle_alpha 90.00
_cell_angle_beta 90.00
_cell_angle_gamma 90.00
loop_
_atom_site_label
_atom_site_fract_x
_atom_site_fract_y
_atom_site_fract_z
_atom_site_occupancy
Sc1 0.000 0.000 0.160 1
Tl1 0.000 0.000 0.500 1
Hg1 0.000 0.500 0.000 1
Hg2 0.000 0.500 0.311 1
Hg3 0.500 0.500 0.151 1
Hg4 0.500 0.500 0.500 1
# Formation enthalpy at 0 K = -0.13 eV per atom
# D(E_F) = 0.61 states/eV/atom
# Electronic total energy = -19.2 eV per cell



# KNdCuSe2 | Alexandria | GGA-PBE | optimized geometry
data_KNdCuSe2
_space_group_name_H-M_alt 'P 1 2/c 1'
_space_group_IT_number 13
_cell_length_a 7.862
_cell_length_b 4.686
_cell_length_c 8.376
_cell_angle_alpha 90.00
_cell_angle_beta 99.73
_cell_angle_gamma 90.00
loop_
_space_group_symop_operation_xyz
'x,y,z'
'-x,-y,-z'
'-x,y,-z+1/2'
'x,-y,z+1/2'
loop_
_atom_site_label
_atom_site_fract_x
_atom_site_fract_y
_atom_site_fract_z
_atom_site_occupancy
K1 0.000 0.177 0.250 1
Nd1 0.500 0.491 0.750 1
Cu1 0.500 0.000 0.000 1
Se1 0.260 0.305 0.965 1
# Formation energy without anion corrections = -1017.2 meV/atom
# D(E_F) = 0.46 states/eV/atom
# Electronic total energy = -44.0 eV per cell



# Pr4SiBiSe2 | Alexandria | GGA-PBE | optimized geometry
data_Pr4SiBiSe2
_space_group_name_H-M_alt 'P 1 2/m 1'
_space_group_IT_number 10
_cell_length_a 7.557
_cell_length_b 4.385
_cell_length_c 7.664
_cell_angle_alpha 90.00
_cell_angle_beta 109.44
_cell_angle_gamma 90.00
loop_
_space_group_symop_operation_xyz
'x,y,z'
'-x,-y,-z'
'-x,y,-z'
'x,-y,z'
loop_
_atom_site_label
_atom_site_fract_x
_atom_site_fract_y
_atom_site_fract_z
_atom_site_occupancy
Pr1 0.245 0.000 0.236 1
Pr2 0.253 0.500 0.767 1
Si1 0.000 0.500 0.000 1
Bi1 0.000 0.000 0.500 1
Se1 0.500 0.000 0.000 1
Se2 0.500 0.500 0.500 1
# Formation energy without anion corrections = -1340.3 meV/atom
# D(E_F) = 0.23 states/eV/atom
# Electronic total energy = -46.1 eV per cell



# AgSb2Br6 | Alexandria | GGA-PBE | optimized geometry
data_AgSb2Br6
_space_group_name_H-M_alt 'P -3 1 m'
_space_group_IT_number 162
_space_group_name_Hall '-P 3 2'
_cell_length_a 7.3234
_cell_length_b 7.3234
_cell_length_c 6.4360
_cell_angle_alpha 90.00
_cell_angle_beta 90.00
_cell_angle_gamma 120.00
loop_
_atom_site_label
_atom_site_fract_x
_atom_site_fract_y
_atom_site_fract_z
_atom_site_occupancy
Ag1 0.0000 0.0000 0.0000 1
Sb1 0.3333 0.6667 0.5000 1
Br1 0.0000 0.3352 0.7470 1
# E above lowest polymorph = 0.0 kJ per mole of atoms
# Formation energy without anion corrections = -379.3 meV/atom
# D(E_F) = 0.33 states/eV/atom
# Electronic total energy = -24.5 eV per cell



# BaMnAl | Alexandria | GGA-PBE | optimized geometry
data_BaMnAl
_space_group_name_H-M_alt 'I 4 m m'
_space_group_IT_number 107
_space_group_name_Hall 'I 4 -2'
_cell_length_a 3.605
_cell_length_b 3.605
_cell_length_c 12.163
_cell_angle_alpha 90.00
_cell_angle_beta 90.00
_cell_angle_gamma 90.00
loop_
_atom_site_label
_atom_site_fract_x
_atom_site_fract_y
_atom_site_fract_z
_atom_site_occupancy
Ba1 0.000 0.000 0.000 1
Mn1 0.000 0.000 0.719 1
Al1 0.000 0.000 0.283 1
# Formation enthalpy at 0 K = 0.27 eV per atom
# E above lowest polymorph = 1.6 kJ per mole of atoms
# D(E_F) = 0.84 states/eV/atom
# Electronic total energy = -28.1 eV per cell



# Pm2Zn2CuPt5 | Alexandria | GGA-PBE | optimized geometry
data_Pm2Zn2CuPt5
_space_group_name_H-M_alt 'P 4/m b m'
_space_group_IT_number 127
_space_group_name_Hall '-P 4 2ab'
_cell_length_a 9.670
_cell_length_b 9.670
_cell_length_c 3.796
_cell_angle_alpha 90.00
_cell_angle_beta 90.00
_cell_angle_gamma 90.00
loop_
_atom_site_label
_atom_site_fract_x
_atom_site_fract_y
_atom_site_fract_z
_atom_site_occupancy
Pm1 0.177 0.323 0.000 1
Zn1 0.122 0.622 0.000 1
Cu1 0.000 0.000 0.000 1
Pt1 0.000 0.500 0.500 1
Pt2 0.062 0.800 0.500 1
# Formation enthalpy at 0 K = -0.71 eV per atom
# D(E_F) = 0.28 states/eV/atom
# Electronic total energy = -106.9 eV per cell



# SbTeBr | Alexandria | GGA-PBE | optimized geometry
data_SbTeBr
_space_group_name_H-M_alt 'F m m 2'
_space_group_IT_number 42
_space_group_name_Hall 'F 2 -2'
_cell_length_a 4.085
_cell_length_b 5.910
_cell_length_c 15.731
_cell_angle_alpha 90.00
_cell_angle_beta 90.00
_cell_angle_gamma 90.00
loop_
_atom_site_label
_atom_site_fract_x
_atom_site_fract_y
_atom_site_fract_z
_atom_site_occupancy
Sb1 0.000 0.000 0.000 1
Te1 0.000 0.000 0.642 1
Br1 0.000 0.000 0.365 1
# Formation energy without anion corrections = -20.2 meV/atom
# D(E_F) = 0.25 states/eV/atom
# Electronic total energy = -36.0 eV per cell



# Sb2PtAu | Alexandria | GGA-PBE | optimized geometry
data_Sb2PtAu
_space_group_name_H-M_alt 'A m m 2'
_space_group_IT_number 38
_cell_length_a 5.007
_cell_length_b 4.815
_cell_length_c 8.203
_cell_angle_alpha 90.00
_cell_angle_beta 90.00
_cell_angle_gamma 90.00
loop_
_space_group_symop_operation_xyz
'x,y,z'
'-x,-y,z'
'-x,y,z'
'x,-y,z'
'x,y+1/2,z+1/2'
'-x,-y+1/2,z+1/2'
'-x,y+1/2,z+1/2'
'x,-y+1/2,z+1/2'
loop_
_atom_site_label
_atom_site_fract_x
_atom_site_fract_y
_atom_site_fract_z
_atom_site_occupancy
Sb1 0.000 0.000 0.000 1
Sb2 0.500 0.000 0.496 1
Pt1 0.000 0.000 0.344 1
Au1 0.500 0.000 0.163 1
# E above lowest polymorph = 1.8 kJ per mole of atoms
# Formation energy without anion corrections = -194.8 meV/atom
# D(E_F) = 0.39 states/eV/atom
# Electronic total energy = -36.7 eV per cell



# Ag2BiSeS2 | Alexandria | GGA-PBE | optimized geometry
data_Ag2BiSeS2
_space_group_name_H-M_alt 'P 1 21/m 1'
_space_group_IT_number 11
_cell_length_a 5.459
_cell_length_b 4.948
_cell_length_c 9.875
_cell_angle_alpha 90.00
_cell_angle_beta 90.26
_cell_angle_gamma 90.00
loop_
_space_group_symop_operation_xyz
'x,y,z'
'-x,-y,-z'
'-x,y+1/2,-z'
'x,-y+1/2,z'
loop_
_atom_site_label
_atom_site_fract_x
_atom_site_fract_y
_atom_site_fract_z
_atom_site_occupancy
Ag1 0.144 0.250 0.133 1
Ag2 0.353 0.750 0.986 1
Bi1 0.310 0.750 0.648 1
Se1 0.217 0.250 0.862 1
S1 0.246 0.514 0.373 1
# Formation energy without anion corrections = 49.8 meV/atom
# D(E_F) = 0.16 states/eV/atom
# Electronic total energy = -42.0 eV per cell



# Li4PrZn4 | Alexandria | GGA-PBE | optimized geometry
data_Li4PrZn4
_space_group_name_H-M_alt 'P 42/n m c'
_space_group_IT_number 137
_cell_length_a 6.108
_cell_length_b 6.108
_cell_length_c 8.955
_cell_angle_alpha 90.00
_cell_angle_beta 90.00
_cell_angle_gamma 90.00
loop_
_space_group_symop_operation_xyz
'x,y,z'
'-x,-y,-z'
'-y+1/2,x,z+1/2'
'y+1/2,-x,-z+1/2'
'-x+1/2,-y+1/2,z'
'x+1/2,y+1/2,-z'
'y,-x+1/2,z+1/2'
'-y,x+1/2,-z+1/2'
'x+1/2,-y,-z'
'-x+1/2,y,z'
'-y,-x,-z+1/2'
'y,x,z+1/2'
'-x,y+1/2,-z'
'x,-y+1/2,z'
'y+1/2,x+1/2,-z+1/2'
'-y+1/2,-x+1/2,z+1/2'
loop_
_atom_site_label
_atom_site_fract_x
_atom_site_fract_y
_atom_site_fract_z
_atom_site_occupancy
Li1 0.015 0.250 0.149 1
Pr1 0.250 0.750 0.250 1
Zn1 0.045 0.250 0.443 1
# Formation enthalpy at 0 K = -0.07 eV per atom
# D(E_F) = 0.45 states/eV/atom
# Electronic total energy = -36.4 eV per cell